# PBE with a Hubbard U BaCaHfWO6, optimized geometry
# **Uncorrected energy**: -314.1 eV for the cell shown
# **DOS at the Fermi energy**: 3.5 states/eV/f.u.
data_BaCaHfWO6
_chemical_formula_sum 'Ba4 Ca4 Hf4 W4 O24'
_space_group_name_H-M_alt 'F -4 3 m'
_space_group_IT_number 216
_space_group_name_Hall 'F -4 2 3'
_cell_length_a 8.264
_cell_length_b 8.264
_cell_length_c 8.264
_cell_angle_alpha 90.00
_cell_angle_beta 90.00
_cell_angle_gamma 90.00
loop_
_atom_site_label
_atom_site_fract_x
_atom_site_fract_y
_atom_site_fract_z
Ba1 0.000 0.000 0.000
Ca1 0.000 0.000 0.500
Hf1 0.250 0.250 0.250
W1 0.250 0.250 0.750
O1 0.001 0.250 0.750